NaTlIr2 PBE optimized geometry; density = 14.6 Mg/m³; total energy = -0.17644 Ha/atom
1.0
0.000 3.265 3.265
3.265 0.000 3.265
3.265 3.265 0.000
Ir Na Tl
2 1 1
Direct
0.000 0.000 0.000 Ir
0.750 0.750 0.750 Ir
0.250 0.250 0.250 Na
0.500 0.500 0.500 Tl